Below is Na2BiF after structural relaxation, with properties calculated at the PBE-GGA level.

## Properties
raw formation energy = -691 meV per atom
VASP energy = -2.789 eV/atom
spin magnetization = 2.0 μB per formula unit
V = 25.3 Å³ per atom
Fermi-level density of states = 0.21 states/eV per atom
E above lowest polymorph = 752.0 meV per atom

Lattice parameters (Å, degrees): 5.232 5.232 5.232 60.00 60.00 60.00
Site moments in Bohr magnetons follow the coordinates.
Atoms (fractional coordinates):
1 Na 0.250 0.250 0.250  0.02
2 Na 0.750 0.750 0.750  0.02
3 Bi 0.500 0.500 0.500  1.13
4 F 0.000 0.000 0.000  0.17

Below is Na2BiF8 after structural relaxation, with properties calculated at the PBE-GGA level.

## Properties
raw formation energy = -1975 meV per atom
VASP energy = -3.929 eV/atom
spin magnetization = 1.1 μB per formula unit
V = 15.1 Å³ per atom
Fermi-level density of states = 0.83 states/eV per atom
E above lowest polymorph = 0.0 meV per atom

Lattice parameters (Å, degrees): 5.636 5.636 6.565 115.42 115.42 90.00
Site moments in Bohr magnetons follow the coordinates.
Atoms (fractional coordinates):
1 Na 0.750 0.250 0.500  0.00
2 Na 0.250 0.750 0.500  0.00
3 Bi 0.500 0.500 0.000  -0.02
4 F 0.840 0.398 0.237  0.13
5 F 0.160 0.603 0.763  0.13
6 F 0.602 0.160 0.763  0.13
7 F 0.160 0.160 0.763  0.13
8 F 0.397 0.840 0.237  0.13
9 F 0.840 0.840 0.237  0.13
10 F 0.398 0.397 0.237  0.13
11 F 0.603 0.602 0.763  0.13

Below is Na5Bi3F12 after structural relaxation, with properties calculated at the PBE-GGA level.

## Properties
raw formation energy = -2362 meV per atom
VASP energy = -4.397 eV/atom
spin magnetization = 0.0 μB per formula unit
V = 16.9 Å³ per atom
Fermi-level density of states = 0.10 states/eV per atom

Lattice parameters (Å, degrees): 12.059 12.059 12.059 109.47 109.47 109.47
Atoms (fractional coordinates):
1 Bi 0.750 0.375 0.125
2 Bi 0.875 0.750 0.125
3 Bi 0.375 0.750 0.625
4 Bi 0.250 0.125 0.375
5 Bi 0.875 0.125 0.250
6 Bi 0.375 0.625 0.250
7 Bi 0.625 0.375 0.750
8 Bi 0.125 0.875 0.750
9 Bi 0.750 0.875 0.625
10 Bi 0.625 0.250 0.375
11 Bi 0.125 0.250 0.875
12 Bi 0.250 0.625 0.875
13 Na 0.125 0.375 0.250
14 Na 0.000 0.500 0.000
15 Na 0.000 0.000 0.000
16 Na 0.375 0.250 0.125
17 Na 0.500 0.000 0.500
18 Na 0.500 0.500 0.000
19 Na 0.125 0.750 0.375
20 Na 0.750 0.125 0.875
21 Na 0.750 0.625 0.375
22 Na 0.375 0.125 0.750
23 Na 0.625 0.875 0.250
24 Na 0.500 0.500 0.500
25 Na 0.500 0.000 0.000
26 Na 0.000 0.000 0.500
27 Na 0.250 0.375 0.625
28 Na 0.250 0.875 0.125
29 Na 0.000 0.500 0.500
30 Na 0.875 0.250 0.625
31 Na 0.625 0.750 0.875
32 Na 0.875 0.625 0.750
33 F 0.712 0.152 0.045
34 F 0.333 0.545 0.394
35 F 0.955 0.348 0.288
36 F 0.545 0.212 0.152
37 F 0.560 0.712 0.667
38 F 0.955 0.606 0.167
39 F 0.333 0.788 0.440
40 F 0.106 0.940 0.152
41 F 0.606 0.955 0.667
42 F 0.712 0.560 0.167
43 F 0.788 0.455 0.348
44 F 0.833 0.894 0.045
45 F 0.152 0.712 0.545
46 F 0.348 0.394 0.060
47 F 0.060 0.894 0.348
48 F 0.440 0.152 0.606
49 F 0.060 0.167 0.212
50 F 0.455 0.667 0.106
51 F 0.833 0.940 0.288
52 F 0.152 0.440 0.106
53 F 0.348 0.955 0.788
54 F 0.606 0.652 0.440
55 F 0.894 0.833 0.545
56 F 0.788 0.333 0.940
57 F 0.394 0.348 0.560
58 F 0.106 0.167 0.455
59 F 0.212 0.667 0.060
60 F 0.167 0.060 0.712
61 F 0.652 0.045 0.212
62 F 0.848 0.560 0.894
63 F 0.545 0.333 0.894
64 F 0.560 0.848 0.394
65 F 0.940 0.833 0.788
66 F 0.940 0.106 0.652
67 F 0.848 0.288 0.455
68 F 0.167 0.106 0.955
69 F 0.652 0.606 0.940
70 F 0.394 0.045 0.333
71 F 0.288 0.440 0.833
72 F 0.212 0.545 0.652
73 F 0.894 0.060 0.848
74 F 0.667 0.212 0.560
75 F 0.455 0.788 0.848
76 F 0.045 0.394 0.833
77 F 0.440 0.288 0.333
78 F 0.045 0.652 0.712
79 F 0.667 0.455 0.606
80 F 0.288 0.848 0.955